Material: BeAlIr
Method: DFT, GGA-PBE
State: relaxed

```
BeAlIr
1.0
-1.449 1.449 9.505
1.449 -1.449 9.505
1.449 1.449 -9.505
Be Al Ir
2 2 2
Cartesian
0.000 0.000 4.147
0.000 0.000 14.863
0.000 0.000 1.328
0.000 0.000 17.682
0.000 0.000 6.586
0.000 0.000 12.424
```

Properties
Formation energy from the elements   -0.58 eV per atom
DFT total energy   -6.0247 eV per atom
ΔE to the lowest computed polymorph   6.19 kJ per mole of atoms
Space group   No. 139

=====

Material: Be2AlIr
Method: DFT, GGA-PBE
State: relaxed

```
Be2AlIr
1.0
2.964 0.000 0.000
0.000 2.964 0.000
0.000 0.000 5.203
Be Al Ir
2 1 1
Cartesian
0.000 0.000 1.185
0.000 0.000 4.017
1.482 1.482 2.601
1.482 1.482 0.000
```

Properties
Formation energy from the elements   -0.41 eV per atom
DFT total energy   -5.4282 eV per atom
Space group   No. 123

=====

Material: Be3AlIr
Method: DFT, GGA-PBE
State: relaxed

```
Be3AlIr
1.0
4.069 0.000 0.000
0.000 4.069 0.000
0.000 0.000 4.069
Be Al Ir
3 1 1
Cartesian
0.000 0.000 2.034
0.000 2.034 0.000
2.034 0.000 0.000
0.000 0.000 0.000
2.034 2.034 2.034
```

Properties
Formation energy from the elements   1.27 eV per atom
DFT total energy   -3.4857 eV per atom
ΔE to the lowest computed polymorph   89.25 kJ per mole of atoms
Space group   No. 221

=====

Material: BeAlIr3
Method: DFT, GGA-PBE
State: relaxed

```
BeAlIr3
1.0
4.116 0.000 0.000
0.000 4.116 0.000
0.000 0.000 4.116
Be Al Ir
1 1 3
Cartesian
0.000 0.000 0.000
2.058 2.058 2.058
0.000 0.000 2.058
0.000 2.058 0.000
2.058 0.000 0.000
```

Properties
Formation energy from the elements   -0.01 eV per atom
DFT total energy   -6.8187 eV per atom
ΔE to the lowest computed polymorph   0.00 kJ per mole of atoms
Space group   No. 221

=====

Material: BeAl2Ir2
Method: DFT, GGA-PBE
State: relaxed

```
BeAl2Ir2
1.0
-2.082 2.082 4.839
2.082 -2.082 4.839
2.082 2.082 -4.839
Be Al Ir
1 2 2
Cartesian
0.000 0.000 0.000
0.000 0.000 3.622
0.000 0.000 6.056
2.082 0.000 2.420
0.000 2.082 2.420
```

Properties
Formation energy from the elements   0.17 eV per atom
DFT total energy   -5.6124 eV per atom
ΔE to the lowest computed polymorph   64.64 kJ per mole of atoms
Space group   No. 139

=====

Material: Be2AlIr
Method: DFT, GGA-PBE
State: relaxed

```
Be2AlIr
1.0
1.434 -2.288 0.000
1.434 2.288 0.000
0.000 0.000 7.609
Be Al Ir
2 1 1
Cartesian
0.000 0.000 0.000
1.434 0.000 1.726
0.000 0.000 3.716
1.434 0.000 5.805
```

Properties
Formation energy from the elements   0.09 eV per atom
DFT total energy   -4.9236 eV per atom
Space group   No. 35

=====

Material: Be2AlIr
Method: DFT, GGA-PBE
State: relaxed

```
Be2AlIr
1.0
2.730 0.000 0.000
0.000 3.705 0.000
-0.004 0.000 4.701
Be Al Ir
2 1 1
Cartesian
0.009 0.000 1.009
2.717 0.000 3.692
-0.002 1.853 2.351
1.365 1.853 0.000
```

Properties
Formation energy from the elements   -0.25 eV per atom
DFT total energy   -5.2610 eV per atom
Space group   No. 10

=====

Material: BeAl2Ir2
Method: DFT, GGA-PBE
State: relaxed

```
BeAl2Ir2
1.0
6.948 0.000 0.000
0.000 6.948 0.000
0.000 0.000 2.977
Be Al Ir
2 4 4
Cartesian
0.000 0.000 0.000
3.474 3.474 0.000
0.985 2.489 1.489
2.489 5.963 1.489
4.459 0.985 1.489
5.963 4.459 1.489
1.101 4.575 0.000
2.373 1.101 0.000
4.575 5.847 0.000
5.847 2.373 0.000
```

Properties
Formation energy from the elements   -0.50 eV per atom
DFT total energy   -6.2823 eV per atom
ΔE to the lowest computed polymorph   0.00 kJ per mole of atoms
Space group   No. 127

=====

Material: BeAlIr2
Method: DFT, GGA-PBE
State: relaxed

```
BeAlIr2
1.0
2.962 0.000 0.000
0.000 2.962 0.000
0.000 0.000 5.859
Be Al Ir
1 1 2
Cartesian
0.000 0.000 0.000
1.481 1.481 4.383
0.000 0.000 3.014
1.481 1.481 1.014
```

Properties
Formation energy from the elements   -0.50 eV per atom
DFT total energy   -6.7991 eV per atom
ΔE to the lowest computed polymorph   26.39 kJ per mole of atoms
Space group   No. 99

=====

Material: BeAlIr2
Method: DFT, GGA-PBE
State: relaxed

```
BeAlIr2
1.0
-1.435 2.328 3.911
1.435 -2.328 3.911
1.435 2.328 -3.911
Be Al Ir
1 1 2
Cartesian
0.000 0.000 0.000
0.000 0.000 3.911
1.435 0.000 1.775
0.000 2.328 2.136
```

Properties
Formation energy from the elements   -0.45 eV per atom
DFT total energy   -6.7429 eV per atom
ΔE to the lowest computed polymorph   31.81 kJ per mole of atoms
Space group   No. 71

=====

Material: Be2Al2Ir3
Method: DFT, GGA-PBE
State: relaxed

```
Be2Al2Ir3
1.0
1.731 -8.707 0.000
1.731 8.707 0.000
0.000 0.000 2.841
Be Al Ir
2 2 3
Cartesian
1.731 4.920 0.000
1.731 -4.920 0.000
1.731 7.316 0.000
1.731 -7.316 0.000
1.731 2.937 1.421
1.731 0.000 1.421
1.731 -2.937 1.421
```

Properties
Formation energy from the elements   -0.71 eV per atom
DFT total energy   -6.6409 eV per atom
Space group   No. 65

=====

Material: BeAlIr2
Method: DFT, GGA-PBE
State: relaxed

```
BeAlIr2
1.0
0.000 3.005 3.005
3.005 0.000 3.005
3.005 3.005 0.000
Be Al Ir
1 1 2
Cartesian
0.000 0.000 0.000
4.508 4.508 4.508
1.503 1.503 1.503
3.005 3.005 3.005
```

Properties
Formation energy from the elements   -0.11 eV per atom
DFT total energy   -6.4034 eV per atom
ΔE to the lowest computed polymorph   64.57 kJ per mole of atoms
Space group   No. 216